Record 1
# TlOsO2

A relaxed TlOsO2 crystal (PBE, the Alexandria database).

Cell lengths 7.3396, 7.3396, 7.3396 Å; angles 25.67, 25.67, 25.67 degrees
With the nearest neighbours (Å) after each atom.
Atoms (fractional coordinates):
Tl 0.0000 0.0000 0.0000  2 O 2.67
Os 0.5000 0.5000 0.5000  6 O 2.08
O 0.1253 0.1253 0.1253  3 Os 2.08
O 0.8747 0.8747 0.8747  3 Os 2.08

Output
ρ (g cm⁻³): 10.85
Energy relative to the elements, uncorrected (eV per atom): -0.387
Volume (Å³/cell): 65
Crystal system: trigonal
Energy above the most stable polymorph in this dataset (meV/atom): 0


Record 2
# Tl3OsO6

A relaxed Tl3OsO6 crystal (PBE, the Alexandria database).

Cell lengths 8.7697, 8.7697, 6.2313 Å; angles 90.00, 90.00, 94.67 degrees
With the nearest neighbours (Å) after each atom.
Atoms (fractional coordinates):
Tl 0.0468 0.9532 0.5000  5 O 2.25-2.46
Tl 0.1658 0.3508 0.5194  3 O 2.49-2.72
Tl 0.3508 0.1658 0.0194  3 O 2.49-2.72
Tl 0.6492 0.8342 0.5194  3 O 2.49-2.72
Tl 0.8342 0.6492 0.0194  3 O 2.49-2.72
Tl 0.9532 0.0468 0.0000  5 O 2.25-2.46
Os 0.3011 0.6989 0.1603  4 O 1.75-1.79
Os 0.6989 0.3011 0.6603  4 O 1.75-1.79
O 0.1211 0.1321 0.2541  3 Tl 2.25-2.49
O 0.1321 0.1211 0.7541  3 Tl 2.25-2.49
O 0.1383 0.6083 0.0331  1 Os 1.76
O 0.2327 0.7673 0.4100  1 Os 1.79
O 0.3917 0.8617 0.0331  1 Os 1.76
O 0.4367 0.5633 0.1697  1 Os 1.75
O 0.5633 0.4367 0.6697  1 Os 1.75
O 0.6083 0.1383 0.5331  1 Os 1.76
O 0.7673 0.2327 0.9100  1 Os 1.79
O 0.8617 0.3917 0.5331  1 Os 1.76
O 0.8679 0.8789 0.2541  3 Tl 2.25-2.49
O 0.8789 0.8679 0.7541  3 Tl 2.25-2.49

Output
ρ (g cm⁻³): 6.25
Energy relative to the elements, uncorrected (eV per atom): -0.779
Volume (Å³/cell): 478
Crystal system: orthorhombic
Energy above the most stable polymorph in this dataset (meV/atom): 0


Record 3
# Tl3OsO6

A relaxed Tl3OsO6 crystal (PBE, the Alexandria database).

Cell lengths 6.9136, 6.9136, 6.9136 Å; angles 92.22, 92.22, 92.22 degrees
With the nearest neighbours (Å) after each atom.
Atoms (fractional coordinates):
Tl 0.1545 0.1545 0.5377  3 O 2.40-2.60
Tl 0.1545 0.5377 0.1545  3 O 2.40-2.60
Tl 0.4623 0.8455 0.8455  3 O 2.40-2.60
Tl 0.5377 0.1545 0.1545  3 O 2.40-2.60
Tl 0.8455 0.4623 0.8455  3 O 2.40-2.60
Tl 0.8455 0.8455 0.4623  3 O 2.40-2.60
Os 0.0000 0.0000 0.0000  6 O 1.90
Os 0.5000 0.5000 0.5000  6 O 1.91
O 0.0859 0.8154 0.8154  1 Os 1.90
O 0.1846 0.1846 0.9141  1 Os 1.90
O 0.1846 0.9141 0.1846  1 Os 1.90
O 0.2239 0.4919 0.4919  1 Os 1.91
O 0.4919 0.2239 0.4919  1 Os 1.91
O 0.4919 0.4919 0.2239  1 Os 1.91
O 0.5081 0.5081 0.7761  1 Os 1.91
O 0.5081 0.7761 0.5081  1 Os 1.91
O 0.7761 0.5081 0.5081  1 Os 1.91
O 0.8154 0.0859 0.8154  1 Os 1.90
O 0.8154 0.8154 0.0859  1 Os 1.90
O 0.9141 0.1846 0.1846  1 Os 1.90

Output
ρ (g cm⁻³): 9.06
Energy relative to the elements, uncorrected (eV per atom): -0.739
Volume (Å³/cell): 330
Crystal system: trigonal
Energy above the most stable polymorph in this dataset (meV/atom): 41


Record 4
# TlOs2O

A relaxed TlOs2O crystal (PBE, the Alexandria database).

Cell lengths 7.5422, 7.5422, 7.5422 Å; angles 143.99, 143.99, 51.84 degrees
With the nearest neighbours (Å) after each atom.
Atoms (fractional coordinates):
Tl 0.0000 0.0000 0.0000  4 Os 2.84
Tl 0.7500 0.2500 0.5000  4 Os 2.84
Os 0.2941 0.1250 0.6691  2 O 2.09
Os 0.3750 0.7059 0.8309  2 O 2.09
Os 0.4559 0.6250 0.3309  2 O 2.09
Os 0.8750 0.5441 0.1691  2 O 2.09
O 0.2500 0.7500 0.5000  4 Os 2.09
O 0.5000 0.5000 0.0000  4 Os 2.09

Output
ρ (g cm⁻³): 13.53
Energy relative to the elements, uncorrected (eV per atom): 0.740
Volume (Å³/cell): 147
Crystal system: tetragonal
Energy above the most stable polymorph in this dataset (meV/atom): 0


Record 5
# Tl4Os6O19

A relaxed Tl4Os6O19 crystal (PBE, the Alexandria database).

Cell lengths 8.1805, 8.1805, 8.1805 Å; angles 109.47, 109.47, 109.47 degrees
With the nearest neighbours (Å) after each atom.
Atoms (fractional coordinates):
Tl 0.0000 0.0000 0.2890  1 O 2.36
Tl 0.0000 0.2890 0.0000  1 O 2.36
Tl 0.2890 0.0000 0.0000  1 O 2.36
Tl 0.7110 0.7110 0.7110  1 O 2.36
Os 0.1449 0.5000 0.6449  6 O 1.92-2.00
Os 0.3551 0.8551 0.5000  6 O 1.92-2.00
Os 0.5000 0.3551 0.8551  6 O 1.92-2.00
Os 0.5000 0.6449 0.1449  6 O 1.92-2.00
Os 0.6449 0.1449 0.5000  6 O 1.92-2.00
Os 0.8551 0.5000 0.3551  6 O 1.92-2.00
O 0.0000 0.0000 0.0000  4 Tl 2.36
O 0.0000 0.3457 0.3457  2 Os 2.00
O 0.0000 0.6543 0.6543  2 Os 2.00
O 0.0663 0.7011 0.3606  2 Os 1.92-1.93
O 0.2944 0.6348 0.9337  2 Os 1.92-1.93
O 0.2989 0.3652 0.6595  2 Os 1.92-1.93
O 0.3405 0.7056 0.6394  2 Os 1.92-1.93
O 0.3457 0.0000 0.3457  2 Os 2.00
O 0.3457 0.3457 0.0000  2 Os 2.00
O 0.3606 0.0663 0.7011  2 Os 1.92-1.93
O 0.3652 0.6595 0.2989  2 Os 1.92-1.93
O 0.6348 0.9337 0.2944  2 Os 1.92-1.93
O 0.6394 0.3405 0.7056  2 Os 1.92-1.93
O 0.6543 0.0000 0.6543  2 Os 2.00
O 0.6543 0.6543 0.0000  2 Os 2.00
O 0.6595 0.2989 0.3652  2 Os 1.92-1.93
O 0.7011 0.3606 0.0663  2 Os 1.92-1.93
O 0.7056 0.6394 0.3405  2 Os 1.92-1.93
O 0.9337 0.2944 0.6348  2 Os 1.92-1.93

Output
ρ (g cm⁻³): 8.92
Energy relative to the elements, uncorrected (eV per atom): -0.912
Volume (Å³/cell): 421
Crystal system: cubic


Record 6
# TlOsO4

A relaxed TlOsO4 crystal (PBE, the Alexandria database).

Cell lengths 6.2115, 5.0522, 5.4694 Å; angles 90.00, 105.38, 90.00 degrees
With the nearest neighbours (Å) after each atom.
Atoms (fractional coordinates):
Tl 0.0000 0.0000 0.0000  4 O 2.36-2.42
Tl 0.0000 0.5000 0.5000  4 O 2.36-2.42
Os 0.5000 0.0000 0.5000  6 O 1.87-1.97
Os 0.5000 0.5000 0.0000  6 O 1.87-1.97
O 0.2041 0.1180 0.4139  1 Os 1.87
O 0.2041 0.3820 0.9139  1 Os 1.87
O 0.4102 0.7106 0.6868  2 Os 1.95-1.97
O 0.4102 0.7894 0.1868  2 Os 1.95-1.97
O 0.5898 0.2106 0.8132  2 Os 1.95-1.97
O 0.5898 0.2894 0.3132  2 Os 1.95-1.97
O 0.7959 0.6180 0.0861  1 Os 1.87
O 0.7959 0.8820 0.5861  1 Os 1.87

Output
ρ (g cm⁻³): 9.20
Energy relative to the elements, uncorrected (eV per atom): -0.850
Volume (Å³/cell): 165
Crystal system: monoclinic
Energy above the most stable polymorph in this dataset (meV/atom): 97


Record 7
# TlOs2O7

A relaxed TlOs2O7 crystal (PBE, the Alexandria database).

Cell lengths 5.9925, 5.9925, 3.8057 Å; angles 90.00, 90.00, 117.38 degrees
With the nearest neighbours (Å) after each atom.
Atoms (fractional coordinates):
Tl 0.0000 0.0000 0.0000  8 O 2.69
Os 0.3095 0.6905 0.5000  7 O 1.90-2.01
Os 0.6905 0.3095 0.5000  7 O 1.90-2.01
O 0.0364 0.3327 0.5000  2 Os 2.01, 1 O 2.24
O 0.3068 0.6932 0.0000  2 Os 1.90
O 0.3327 0.0364 0.5000  2 Os 2.01, 1 O 2.24
O 0.5000 0.5000 0.5000  2 Os 1.95
O 0.6673 0.9636 0.5000  2 Os 2.01, 1 O 2.24
O 0.6932 0.3068 0.0000  2 Os 1.90
O 0.9636 0.6673 0.5000  2 Os 2.01, 1 O 2.24

Output
ρ (g cm⁻³): 9.54
Energy relative to the elements, uncorrected (eV per atom): -0.801
Volume (Å³/cell): 121
Crystal system: orthorhombic
Energy above the most stable polymorph in this dataset (meV/atom): 0


Record 8
# TlOsO2

A relaxed TlOsO2 crystal (PBE, the Alexandria database).

Cell lengths 8.1603, 8.1603, 8.1603 Å; angles 22.10, 22.10, 22.10 degrees
With the nearest neighbours (Å) after each atom.
Atoms (fractional coordinates):
Tl 0.0000 0.0000 0.0000  6 O 2.86, 6 Tl 3.13
Os 0.5000 0.5000 0.5000  2 O 1.76
O 0.4262 0.4262 0.4262  1 Os 1.76
O 0.5738 0.5738 0.5738  1 Os 1.76

Output
ρ (g cm⁻³): 10.50
Energy relative to the elements, uncorrected (eV per atom): -0.354
Volume (Å³/cell): 67
Crystal system: trigonal
Energy above the most stable polymorph in this dataset (meV/atom): 33